# 1
Tb4PrNd2, optimized geometry, DFT GGA-PBE; energy above the most stable polymorph in this dataset = 84 meV per atom
1.0
6.949 0.000 0.000
0.000 10.466 0.000
-2.029 0.000 6.754
Tb Pr Nd
8 2 4
direct
0.230 0.217 0.190
0.230 0.281 0.689
0.230 0.719 0.689
0.230 0.783 0.190
0.770 0.217 0.810
0.770 0.281 0.311
0.770 0.719 0.311
0.770 0.783 0.810
0.000 0.500 0.000
0.500 0.500 0.000
0.000 0.000 0.500
0.500 0.000 0.000
0.500 0.000 0.500
0.500 0.500 0.500

# 2
K2LaSbS4, optimized geometry, DFT GGA-PBE; ΔE_f (raw) = -995 kJ/mol of formula units
1.0
-4.222 4.337 6.046
4.222 -4.337 6.046
4.222 4.337 -6.046
K La Sb S
4 2 2 8
direct
0.000 0.000 0.000
0.500 0.000 0.000
0.500 0.000 0.500
0.500 0.500 0.500
0.000 0.500 0.500
0.500 0.500 0.000
0.000 0.000 0.500
0.000 0.500 0.000
0.208 0.740 0.468
0.229 0.260 0.968
0.232 0.255 0.523
0.232 0.709 0.977
0.768 0.291 0.023
0.768 0.745 0.477
0.771 0.740 0.032
0.792 0.260 0.532

# 3
La2ReGeF, optimized geometry, DFT GGA-PBE; ΔE_f (raw) = -148 kJ/mol of formula units
1.0
5.554 0.000 0.000
0.000 5.554 0.000
0.000 0.000 4.103
La Re Ge F
2 1 1 1
direct
0.000 0.500 0.000
0.500 0.000 0.000
0.000 0.000 0.000
0.500 0.500 0.500
0.000 0.000 0.500

# 4
Zn2CrGe2, optimized geometry, DFT GGA-PBE; calculated total energy = -3.95 eV per atom
1.0
6.528 0.000 0.000
0.000 6.528 0.000
0.000 0.000 3.715
Zn Cr Ge
4 2 4
direct
0.151 0.349 0.000
0.349 0.849 0.000
0.651 0.151 0.000
0.849 0.651 0.000
0.000 0.000 0.500
0.500 0.500 0.500
0.156 0.656 0.500
0.344 0.156 0.500
0.656 0.844 0.500
0.844 0.344 0.500

# 5
Ho3ErC2, optimized geometry, DFT GGA-PBE; calculated total energy = -6.41 eV per atom
1.0
7.100 0.000 0.000
-3.550 6.149 0.000
0.000 0.000 6.201
Ho Er C
6 2 4
direct
0.167 0.333 0.217
0.167 0.833 0.217
0.333 0.167 0.783
0.667 0.833 0.217
0.833 0.167 0.783
0.833 0.667 0.783
0.333 0.667 0.786
0.667 0.333 0.214
0.000 0.000 0.000
0.000 0.500 0.000
0.500 0.000 0.000
0.500 0.500 0.000

# 6
SmTmMgPa, optimized geometry, DFT GGA-PBE; calculated total energy = -4.72 eV per atom
1.0
0.000 3.812 3.812
3.812 0.000 3.812
3.812 3.812 0.000
Sm Tm Mg Pa
1 1 1 1
direct
0.000 0.000 0.000
0.500 0.500 0.500
0.250 0.250 0.250
0.750 0.750 0.750

# 7
Na6Tl2Ge, optimized geometry, DFT GGA-PBE; calculated total energy = -1.94 eV per atom
1.0
-1.616 4.782 8.042
1.616 -4.782 8.042
1.616 4.782 -8.042
Na Tl Ge
6 2 1
direct
0.008 0.168 0.840
0.304 0.500 0.804
0.328 0.168 0.160
0.672 0.832 0.840
0.696 0.500 0.196
0.992 0.832 0.160
0.340 0.840 0.500
0.660 0.160 0.500
0.000 0.000 0.000

# 8
AcAuC2O6, optimized geometry, DFT GGA-PBE; ΔE_f (raw) = -1697 kJ/mol of formula units
1.0
4.974 -4.846 0.000
4.974 4.846 0.000
-4.609 0.000 6.582
Ac Au C O
2 2 4 12
direct
0.089 0.911 0.750
0.911 0.089 0.250
0.410 0.590 0.250
0.590 0.410 0.750
0.129 0.394 0.797
0.394 0.129 0.297
0.606 0.871 0.703
0.871 0.606 0.203
0.037 0.216 0.632
0.133 0.576 0.797
0.215 0.363 0.963
0.216 0.037 0.132
0.363 0.215 0.463
0.424 0.867 0.703
0.576 0.133 0.297
0.637 0.785 0.537
0.784 0.963 0.868
0.785 0.637 0.037
0.867 0.424 0.203
0.963 0.784 0.368